(1)
## SmDy2ThBi5 (PBE)

Data for a relaxed structure of SmDy2ThBi5.

Computed properties:
Energy relative to the elements: 204.2 meV per atom
Space-group type: P4/mmm (123)
M_tot: 0.000 μB per cell

Lattice parameters (Å, degrees): 5.7151 5.7151 12.0360 90.00 90.00 90.00
Fractional coordinates of all 9 atoms:
Bi: 0.0000 0.0000 0.2437
Dy: 0.5000 0.5000 0.7346
Bi: 0.0000 0.0000 0.7563
Sm: 0.0000 0.0000 0.0000
Bi: 0.5000 0.5000 0.0000
Bi: 0.0000 0.5000 0.5000
Th: 0.0000 0.0000 0.5000
Dy: 0.5000 0.5000 0.2654
Bi: 0.5000 0.0000 0.5000

=====

(2)
## SmDy3Th2Bi6 (PBE)

Data for a relaxed structure of SmDy3Th2Bi6.

Computed properties:
Energy relative to the elements: -777.0 meV per atom
Space-group type: C2/m (12)
M_tot: 0.000 μB per cell

Lattice parameters (Å, degrees): 4.5407 9.0478 10.1248 102.73 102.96 90.00
Fractional coordinates of all 12 atoms:
Bi: 0.6679 0.0779 0.3358
Bi: 0.3321 0.9221 0.6642
Bi: 0.3348 0.4115 0.6696
Th: 0.1651 0.3312 0.3302
Bi: 0.0023 0.7471 0.0047
Dy: 0.5000 0.5000 0.0000
Sm: 0.5000 0.0000 0.0000
Bi: 0.9977 0.2529 0.9953
Th: 0.8349 0.6688 0.6698
Bi: 0.6652 0.5885 0.3304
Dy: 0.8338 0.1659 0.6675
Dy: 0.1662 0.8341 0.3325